VASP calculation (PBE) on a relaxed InAgIr crystal.

abc: 3.0436 7.8028 5.5756
angles: 90.00 123.08 90.00
Fractional positions:
1 Ir 0.0000 0.6649 0.0000
2 Ir 0.0000 0.1649 0.5000
3 Ag 0.0000 0.2733 0.0000
4 Ag 0.0000 0.7733 0.5000
5 In 0.5000 0.4656 0.5000
6 In 0.5000 0.9656 0.0000

Calculated values
* density of states at the Fermi level: 3.800 states/eV per cell
* space group: No. 44
* ΔH_f (0 K): 246 meV/atom
* excess energy over the best structure of this formula in the dataset: 162.5 meV/atom

---

VASP calculation (PBE) on a relaxed InAgIr crystal.

abc: 4.5007 4.7036 2.9833
angles: 90.00 90.00 90.00
Fractional positions:
1 Ir 0.5000 0.0000 0.0000
2 Ag 0.5000 0.5000 0.5000
3 In 0.0000 0.0000 0.5000

Calculated values
* density of states at the Fermi level: 1.209 states/eV per cell
* space group: No. 47
* ΔH_f (0 K): 83 meV/atom
* excess energy over the best structure of this formula in the dataset: 0.0 meV/atom

---

VASP calculation (PBE) on a relaxed InAgIr crystal.

abc: 4.5221 4.5221 2.9993
angles: 90.00 90.00 120.00
Fractional positions:
1 Ir 0.6667 0.3333 0.6362
2 Ag 0.0000 0.0000 0.0396
3 In 0.3333 0.6667 0.3243

Calculated values
* density of states at the Fermi level: 0.965 states/eV per cell
* space group: No. 156
* ΔH_f (0 K): 197 meV/atom
* excess energy over the best structure of this formula in the dataset: 113.9 meV/atom

---

VASP calculation (PBE) on a relaxed KIn2AgIr crystal.

abc: 5.1460 5.1460 5.4678
angles: 90.00 90.00 90.00
Fractional positions:
1 K 0.5000 0.5000 0.5000
2 Ir 0.0000 0.0000 0.0000
3 Ag 0.0000 0.0000 0.5000
4 In 0.0000 0.5000 0.0000
5 In 0.5000 0.0000 0.0000

Calculated values
* density of states at the Fermi level: 1.304 states/eV per cell
* space group: No. 123
* ΔH_f (0 K): -38 meV/atom

---

VASP calculation (PBE) on a relaxed La2In6AgIr crystal.

abc: 10.1783 5.8101 7.3228
angles: 66.37 45.73 90.07
Fractional positions:
1 La 0.2261 0.7308 0.5349
2 La 0.7739 0.2692 0.4651
3 In 0.3007 0.8132 0.8811
4 In 0.6954 0.6932 0.1212
5 In 0.0791 0.2444 0.5086
6 In 0.6993 0.1868 0.1189
7 In 0.3046 0.3068 0.8788
8 In 0.9209 0.7556 0.4914
9 Ag 0.5000 0.5000 0.0000
10 Ir 0.0000 0.0000 0.0000

Calculated values
* density of states at the Fermi level: 4.612 states/eV per cell
* space group: No. 2
* ΔH_f (0 K): -249 meV/atom

---

VASP calculation (PBE) on a relaxed LiInAgIr crystal.

abc: 4.5523 4.5523 4.5523
angles: 60.00 60.00 60.00
Fractional positions:
1 Ir 0.5000 0.5000 0.5000
2 Li 0.0000 0.0000 0.0000
3 Ag 0.2500 0.2500 0.2500
4 In 0.7500 0.7500 0.7500

Calculated values
* density of states at the Fermi level: 1.595 states/eV per cell
* space group: No. 216
* ΔH_f (0 K): -139 meV/atom

---

VASP calculation (PBE) on a relaxed Mg3In3Ag2Ir crystal.

abc: 3.2471 7.9740 7.9740
angles: 120.00 90.00 90.00
Fractional positions:
1 Mg 0.5000 0.7310 0.0000
2 Mg 0.5000 0.0000 0.7310
3 Mg 0.5000 0.2690 0.2690
4 In 0.0000 0.6355 0.6355
5 In 0.0000 0.0000 0.3645
6 In 0.0000 0.3645 0.0000
7 Ag 0.5000 0.6667 0.3333
8 Ag 0.5000 0.3333 0.6667
9 Ir 0.0000 0.0000 0.0000

Calculated values
* density of states at the Fermi level: 3.222 states/eV per cell
* space group: No. 189
* ΔH_f (0 K): -188 meV/atom

---

VASP calculation (PBE) on a relaxed MnInAgIr crystal.

abc: 4.5675 4.5675 4.5675
angles: 60.00 60.00 60.00
Site moments in Bohr magnetons follow the coordinates.
Fractional positions:
1 Mn 0.5000 0.5000 0.5000  3.80
2 Ir 0.7500 0.7500 0.7500  0.21
3 Ag 0.2500 0.2500 0.2500  0.04
4 In 0.0000 0.0000 0.0000  -0.02

Calculated values
* density of states at the Fermi level: 2.641 states/eV per cell
* space group: No. 216
* ΔH_f (0 K): 47 meV/atom